No. 1
The following is a meta-GGA SCAN calculation of FeCuC2I at its PBEsol-relaxed geometry, from Alexandria via LeMat-Bulk.

abc: 3.7174 3.7174 5.3412
angles: 90.00 90.00 90.00
With the nearest neighbours (Å) after each atom.
Sites, in units of the cell vectors:
C1 0.0000 0.5000 0.0000  2 Cu 1.86
I1 0.5000 0.5000 0.5000  4 Fe 2.63
Cu1 0.0000 0.0000 0.0000  4 C 1.86
Fe1 0.0000 0.0000 0.5000  4 I 2.63, 2 Cu 2.67
C2 0.5000 0.0000 0.0000  2 Cu 1.86

## Properties
Spin magnetization, μB/cell: 3.514
Formation energy (no corrections), kJ/mol of formula units: 1012

No. 2
The following is a meta-GGA SCAN calculation of Cu3Tc at its PBEsol-relaxed geometry, from Alexandria via LeMat-Bulk.

abc: 2.5140 4.4308 5.0767
angles: 115.87 104.34 90.00
With the nearest neighbours (Å) after each atom.
Sites, in units of the cell vectors:
Tc1 0.0000 0.5000 0.0000  2 Tc 2.51, 8 Cu 2.55-2.61
Cu1 0.2396 0.2396 0.4791  8 Cu 2.45-2.55, 2 Tc 2.61
Cu2 0.5000 0.0000 0.0000  6 Cu 2.45-2.51, 4 Tc 2.55
Cu3 0.7604 0.7604 0.5209  8 Cu 2.45-2.55, 2 Tc 2.61

## Properties
Spin magnetization, μB/cell: 0.850
Formation energy from the elements, eV/atom: 0.273

No. 3
The following is a meta-GGA SCAN calculation of La2AlTe at its PBEsol-relaxed geometry, from Alexandria via LeMat-Bulk.

abc: 5.4399 5.4399 5.4399
angles: 60.00 60.00 60.00
With the nearest neighbours (Å) after each atom.
Sites, in units of the cell vectors:
La1 0.7500 0.7500 0.7500  4 Te 3.33, 4 Al 3.33
Al1 0.0000 0.0000 0.0000  8 La 3.33
Te1 0.5000 0.5000 0.5000  8 La 3.33
La2 0.2500 0.2500 0.2500  4 Te 3.33, 4 Al 3.33

## Properties
Spin magnetization, μB/cell: 0.002
Polymorph energy (0 for the lowest one), eV per atom: 0.2490
Formation energy (no corrections), kJ/mol of formula units: -273

No. 4
The following is a meta-GGA SCAN calculation of SrTi11O20 at its PBEsol-relaxed geometry, from Alexandria via LeMat-Bulk.

abc: 7.1048 7.6184 13.0846
angles: 90.27 92.79 103.67
With the nearest neighbours (Å) after each atom.
Sites, in units of the cell vectors:
Ti1 0.3233 0.9333 0.4374  6 O 1.95-2.08
Ti2 0.6460 0.3638 0.7133  5 O 1.88-2.03
Ti3 0.9948 0.7024 0.8728  5 O 1.88-2.05
O1 0.8273 0.3290 0.5951  4 Ti 1.96-2.11
O2 0.1721 0.4645 0.0475  3 Ti 1.88-2.02
O3 0.8249 0.8821 0.8764  3 Ti 1.95-2.03
O4 0.8227 0.9575 0.6678  3 Ti 1.93-2.09
O5 0.1671 0.1825 0.9033  3 Ti 1.88-2.02
Ti4 0.0117 0.9291 0.2019  6 O 1.88-2.09
O6 0.5026 0.1203 0.6683  3 Ti 1.97-2.00
O7 0.4892 0.4541 0.6041  4 Ti 1.99-2.10
O8 0.5027 0.3167 0.0349  4 Ti 2.00-2.09
O9 0.8216 0.6709 0.5217  3 Ti 1.91-1.98
O10 0.1500 0.2314 0.6952  3 Ti 1.89-2.03
Ti5 0.6626 0.5675 0.0690  6 O 1.91-2.09
O11 0.8279 0.5355 0.9525  3 Ti 1.88-2.02
O12 0.5045 0.8217 0.5333  4 Ti 1.99-2.14
O13 0.1754 0.6254 0.6265  3 Ti 1.92-2.10
O14 0.4955 0.1783 0.4667  4 Ti 1.99-2.14
O15 0.8416 0.2642 0.7991  4 Ti 2.00-2.09
O16 0.4973 0.6833 0.9651  4 Ti 2.00-2.09
Ti6 0.9815 0.7949 0.6333  6 O 1.91-2.10
Ti7 0.9883 0.0709 0.7981  6 O 1.88-2.09
Ti8 0.3025 0.2045 0.5838  5 O 1.90-2.05
Sr1 0.5421 0.1890 0.2394  5 O 2.52-2.72
O17 0.1713 0.8251 0.9759  3 Ti 1.88-2.02
O18 0.8772 0.1161 0.2332  3 Ti 1.95-2.05
Ti9 0.0366 0.4312 0.7065  6 O 1.89-2.09
O19 0.1751 0.1179 0.1236  3 Ti 1.95-2.03
O20 0.1584 0.7358 0.2009  4 Ti 2.00-2.09
O21 0.1727 0.6710 0.4049  4 Ti 1.96-2.11
O22 0.8500 0.7686 0.3048  3 Ti 1.89-2.03
O23 0.4974 0.8797 0.3317  3 Ti 1.97-2.00
Ti10 0.3192 0.0788 0.0013  6 O 1.93-2.05
Ti11 0.6814 0.2885 0.9175  6 O 1.95-2.08
O24 0.5038 0.4029 0.8247  3 Ti 1.88-2.05
O25 0.4962 0.5971 0.1753  3 Ti 1.88-2.05
O26 0.5152 0.0445 0.9034  3 Ti 1.95-2.05
O27 0.8246 0.3746 0.3735  3 Ti 1.92-2.10
O28 0.1773 0.0425 0.3322  3 Ti 1.93-2.09
O29 0.8513 0.5973 0.7320  4 Ti 2.02-2.12
Ti12 0.6975 0.7955 0.4162  5 O 1.90-2.05
Ti13 0.9634 0.5688 0.2935  6 O 1.89-2.09
O30 0.8287 0.1749 0.0241  3 Ti 1.88-2.02
O31 0.5108 0.5459 0.3959  4 Ti 1.99-2.10
Ti14 0.3540 0.6362 0.2867  5 O 1.88-2.03
Ti15 0.6743 0.4205 0.4886  6 O 1.96-2.10
Sr2 0.4579 0.8110 0.7606  5 O 2.52-2.72
O32 0.4848 0.9555 0.0966  3 Ti 1.95-2.05
Ti16 0.3257 0.5795 0.5114  6 O 1.96-2.10
O33 0.8350 0.0454 0.4474  3 Ti 1.92-1.95
Ti17 0.6767 0.0667 0.5626  6 O 1.95-2.08
Ti18 0.0052 0.2976 0.1272  5 O 1.88-2.05
O34 0.8329 0.8175 0.0967  3 Ti 1.88-2.02
O35 0.1709 0.5508 0.8319  3 Ti 1.96-2.06
O36 0.1784 0.3291 0.4783  3 Ti 1.91-1.98
Ti19 0.3374 0.4325 0.9310  6 O 1.91-2.09
Ti20 0.6808 0.9212 0.9987  6 O 1.93-2.05
O37 0.8291 0.4492 0.1681  3 Ti 1.96-2.06
O38 0.1228 0.8839 0.7668  3 Ti 1.95-2.05
Ti21 0.3186 0.7115 0.0825  6 O 1.95-2.08
Ti22 0.0185 0.2051 0.3667  6 O 1.91-2.10
O39 0.1650 0.9546 0.5526  3 Ti 1.92-1.95
O40 0.1487 0.4027 0.2680  4 Ti 2.02-2.12

## Properties
Spin magnetization, μB/cell: 0.001
Formation energy (no corrections), kJ/mol of formula units: -10156